The following is a DFT calculation (PBE) of a geometry-optimized NdZr3 structure.

Unit cell a=6.6955 b=6.6955 c=5.3088 alpha=90.00 beta=90.00 gamma=120.00
Element x y z (fractional)
Nd1 0.3333 0.6667 0.2500
Nd2 0.6667 0.3333 0.7500
Zr1 0.1576 0.3151 0.7500
Zr2 0.1576 0.8424 0.7500
Zr3 0.3151 0.1576 0.2500
Zr4 0.6849 0.8424 0.7500
Zr5 0.8424 0.1576 0.2500
Zr6 0.8424 0.6849 0.2500

Properties
- DFT formation energy: 0.124 eV per atom
- Electronic total energy: -7.477 eV per atom